# 1
Here is a relaxed structure of Y2AgNO from the Alexandria database. Energies are from PBE.

Summary:
Formation energy from raw total energies ... -622 meV per atom
Total magnetization ... 0.0 Bohr magnetons per cell

The structure in POSCAR format:
```
Y2AgNO
1.0
4.7074 0.0000 0.0000
0.0000 4.1296 0.0000
0.0000 0.0000 4.7074
Y O N Ag
2 1 1 1
Cartesian
0.0000 0.0000 2.3537
2.3537 0.0000 0.0000
2.3537 2.0648 2.3537
0.0000 0.0000 0.0000
0.0000 2.0648 0.0000
```

# 2
Here is a relaxed structure of YAg2NO from the Alexandria database. Energies are from PBE.

Summary:
Formation energy from raw total energies ... 1238 meV per atom
Total magnetization ... 0.0 Bohr magnetons per cell

The structure in POSCAR format:
```
YAg2NO
1.0
-4.5142 -3.4302 -0.2245
2.2634 -2.8731 -1.6147
1.2240 -1.9502 5.1858
N O Y Ag
1 1 1 2
Cartesian
1.1317 -1.4365 -0.8073
-0.5134 -4.1267 1.6733
0.0000 0.0000 0.0000
-2.2571 -1.7151 -0.1122
0.6120 -0.9751 2.5929
```

# 3
Here is a relaxed structure of ZnAgN2O from the Alexandria database. Energies are from PBE.

Summary:
Formation energy from raw total energies ... 1421 meV per atom
Total magnetization ... 3.8 Bohr magnetons per cell

The structure in POSCAR format:
```
ZnAgN2O
1.0
3.9632 0.0000 0.0000
0.0000 3.9632 0.0000
0.0000 0.0000 4.0091
Zn Ag O N
1 1 1 2
Cartesian
0.0000 0.0000 0.0000
1.9816 1.9816 2.0046
0.0000 0.0000 2.0046
0.0000 1.9816 0.0000
1.9816 0.0000 0.0000
```

# 4
Here is a relaxed structure of ZnAgN2O from the Alexandria database. Energies are from PBE.

Summary:
Formation energy from raw total energies ... 1731 meV per atom
Total magnetization ... 2.5 Bohr magnetons per cell

The structure in POSCAR format:
```
ZnAgN2O
1.0
4.0387 0.0000 0.0000
0.0000 4.0387 0.0000
0.0000 0.0000 4.2229
N Ag Zn O
2 1 1 1
Cartesian
0.0000 2.0194 0.0000
2.0194 0.0000 0.0000
0.0000 0.0000 0.0000
2.0194 2.0194 2.1114
0.0000 0.0000 2.1114
```

# 5
Here is a relaxed structure of ZrAgN2O from the Alexandria database. Energies are from PBE.

Summary:
Formation energy from raw total energies ... 77 meV per atom
Total magnetization ... 3.0 Bohr magnetons per cell

The structure in POSCAR format:
```
ZrAgN2O
1.0
-2.1339 -3.7407 -0.7412
3.3484 -1.4315 -2.4156
1.7182 -1.6453 3.3567
Ag N O Zr
1 2 1 1
Cartesian
1.4663 -3.4087 0.1000
1.6742 -0.7157 -1.2078
-1.0670 -1.8704 -0.3706
0.8591 -0.8226 1.6784
0.0000 0.0000 0.0000
```

# 6
Here is a relaxed structure of ZrAgNO2 from the Alexandria database. Energies are from PBE.

Summary:
Formation energy from raw total energies ... -749 meV per atom
Total magnetization ... 0.0 Bohr magnetons per cell

The structure in POSCAR format:
```
ZrAgNO2
1.0
4.1494 0.0000 0.0000
0.0000 4.1494 0.0000
0.0000 0.0000 4.3320
O Zr N Ag
2 1 1 1
Cartesian
0.0000 2.0747 0.0000
2.0747 0.0000 0.0000
0.0000 0.0000 0.0000
0.0000 0.0000 2.1660
2.0747 2.0747 2.1660
```

# 7
Here is a relaxed structure of ZrAgNO2 from the Alexandria database. Energies are from PBE.

Summary:
Formation energy from raw total energies ... 93 meV per atom
Total magnetization ... 0.0 Bohr magnetons per cell

The structure in POSCAR format:
```
ZrAgNO2
1.0
-3.6853 -1.4566 0.1302
1.2378 -3.2950 -1.8250
0.7947 -1.6898 3.5900
O Ag N Zr
2 1 1 1
Cartesian
-1.8427 -0.7283 0.0651
0.6189 -1.6475 -0.9125
0.0000 0.0000 0.0000
0.3973 -0.8449 1.7950
-0.8264 -3.2207 0.9476
```

# 8
Here is a relaxed structure of ZrAgN2O from the Alexandria database. Energies are from PBE.

Summary:
Formation energy from raw total energies ... 707 meV per atom
Total magnetization ... 0.0 Bohr magnetons per cell

The structure in POSCAR format:
```
ZrAgN2O
1.0
-0.2789 -2.5906 -3.0279
3.8889 0.4853 -0.7733
0.8468 -2.9238 2.4236
Ag N O Zr
1 2 1 1
Cartesian
0.0000 0.0000 0.0000
1.9445 0.2426 -0.3867
-0.1394 -1.2953 -1.5139
0.4234 -1.4619 1.2118
2.2284 -2.5146 -0.6888
```

# 9
Here is a relaxed structure of Ag3OsN from the Alexandria database. Energies are from PBE.

Summary:
Formation energy from raw total energies ... 2752 meV per atom
Total magnetization ... 0.0 Bohr magnetons per cell
Polymorph energy (0 for the lowest one) ... 1331.2 meV per atom

The structure in POSCAR format:
```
Ag3OsN
1.0
5.0284 0.0000 0.0000
0.0000 5.0284 0.0000
0.0000 0.0000 5.0284
Ag Os N
3 1 1
Cartesian
2.5142 0.0000 0.0000
0.0000 2.5142 0.0000
0.0000 0.0000 2.5142
0.0000 0.0000 0.0000
2.5142 2.5142 2.5142
```

# 10
Here is a relaxed structure of Ag3OsN from the Alexandria database. Energies are from PBE.

Summary:
Formation energy from raw total energies ... 1420 meV per atom
Total magnetization ... 1.9 Bohr magnetons per cell
Polymorph energy (0 for the lowest one) ... 0.0 meV per atom

The structure in POSCAR format:
```
Ag3OsN
1.0
-3.0206 -2.7317 1.3304
1.4948 0.2973 4.0042
-2.6453 3.2872 0.7435
N Ag Os
1 3 1
Cartesian
0.0000 0.0000 0.0000
0.7474 0.1486 2.0021
-1.3227 1.6436 0.3717
-1.5103 -1.3658 0.6652
-2.0855 0.4264 3.0390
```

# 11
Here is a relaxed structure of AgOs3N from the Alexandria database. Energies are from PBE.

Summary:
Formation energy from raw total energies ... 895 meV per atom
Total magnetization ... 1.6 Bohr magnetons per cell
Polymorph energy (0 for the lowest one) ... 0.0 meV per atom

The structure in POSCAR format:
```
AgOs3N
1.0
-0.3714 -4.0561 -0.4053
3.7824 -0.1912 -1.5526
1.5196 -0.5154 3.7655
Ag N Os
1 1 3
Cartesian
2.4653 -2.3813 0.9038
0.0000 0.0000 0.0000
1.8912 -0.0956 -0.7763
-0.1857 -2.0280 -0.2027
0.7598 -0.2577 1.8827
```

# 12
Here is a relaxed structure of AgOsN3 from the Alexandria database. Energies are from PBE.

Summary:
Formation energy from raw total energies ... 3128 meV per atom
Total magnetization ... 1.0 Bohr magnetons per cell

The structure in POSCAR format:
```
AgOsN3
1.0
-3.6853 0.5463 -1.2694
0.1451 -3.4424 -1.9028
-1.3743 -1.8284 3.2030
Ag N Os
1 3 1
Cartesian
0.0000 0.0000 0.0000
-0.6872 -0.9142 1.6015
-1.8427 0.2732 -0.6347
0.0726 -1.7212 -0.9514
-2.4573 -2.3623 0.0154
```

# 13
Here is a relaxed structure of AgOsN3 from the Alexandria database. Energies are from PBE.

Summary:
Formation energy from raw total energies ... 1177 meV per atom
Total magnetization ... 0.0 Bohr magnetons per cell

The structure in POSCAR format:
```
AgOsN3
1.0
3.8820 0.0000 0.0000
0.0000 3.8820 0.0000
0.0000 0.0000 3.8820
Os N Ag
1 3 1
Cartesian
0.0000 0.0000 0.0000
0.0000 0.0000 1.9410
1.9410 0.0000 0.0000
0.0000 1.9410 0.0000
1.9410 1.9410 1.9410
```

# 14
Here is a relaxed structure of AgOs3N from the Alexandria database. Energies are from PBE.

Summary:
Formation energy from raw total energies ... 4372 meV per atom
Total magnetization ... 7.3 Bohr magnetons per cell
Polymorph energy (0 for the lowest one) ... 3477.1 meV per atom

The structure in POSCAR format:
```
AgOs3N
1.0
-0.3300 -0.6961 -4.7752
3.7425 -3.0585 0.1872
-3.0464 -3.6820 0.7473
Ag Os N
1 3 1
Cartesian
0.0000 0.0000 0.0000
-1.5232 -1.8410 0.3736
-0.1650 -0.3481 -2.3876
1.8713 -1.5293 0.0936
0.1831 -3.7183 -1.9203
```

# 15
Here is a relaxed structure of Ag2OsPtN from the Alexandria database. Energies are from PBE.

Summary:
Formation energy from raw total energies ... 1074 meV per atom
Total magnetization ... 0.5 Bohr magnetons per cell

The structure in POSCAR format:
```
Ag2OsPtN
1.0
-0.1975 -2.5892 -4.4816
-2.9307 -1.7769 1.1558
-3.0291 3.6945 -2.0010
Os N Ag Pt
1 1 2 1
Cartesian
0.0000 0.0000 0.0000
-1.4654 -0.8885 0.5779
-0.0988 -1.2946 -2.2408
-1.5145 1.8472 -1.0005
-3.0787 -0.3358 -2.6634
```

# 16
Here is a relaxed structure of ReAgOsN2 from the Alexandria database. Energies are from PBE.

Summary:
Formation energy from raw total energies ... 1277 meV per atom
Total magnetization ... 1.8 Bohr magnetons per cell

The structure in POSCAR format:
```
ReAgOsN2
1.0
-2.9777 -2.3672 0.6776
2.7419 -3.9712 -1.8244
1.3587 -0.6928 3.5501
Ag N Re Os
1 2 1 1
Cartesian
0.5615 -3.5156 1.2017
0.6793 -0.3464 1.7751
-1.4888 -1.1836 0.3388
0.0000 0.0000 0.0000
1.3710 -1.9856 -0.9122
```

# 17
Here is a relaxed structure of AgOs2RhN from the Alexandria database. Energies are from PBE.

Summary:
Formation energy from raw total energies ... 653 meV per atom
Total magnetization ... 0.6 Bohr magnetons per cell

The structure in POSCAR format:
```
AgOs2RhN
1.0
-2.0329 2.1580 -2.7256
-2.9641 -3.0292 -0.1876
-2.0416 1.8145 2.9594
Os N Ag Rh
2 1 1 1
Cartesian
-1.0208 0.9072 1.4797
-1.0164 1.0790 -1.3628
0.0000 0.0000 0.0000
-3.5193 0.4716 0.0231
-1.4821 -1.5146 -0.0938
```

# 18
Here is a relaxed structure of AgOsSN2 from the Alexandria database. Energies are from PBE.

Summary:
Formation energy from raw total energies ... 625 meV per atom
Total magnetization ... 0.3 Bohr magnetons per cell
Polymorph energy (0 for the lowest one) ... 0.0 meV per atom

The structure in POSCAR format:
```
AgOsSN2
1.0
-0.0513 -1.7875 -3.3220
-1.5915 -3.0019 1.6399
-4.8373 2.0135 -1.0088
N Os S Ag
2 1 1 1
Cartesian
-0.7957 -1.5009 0.8199
-0.0256 -0.8938 -1.6610
0.0000 0.0000 0.0000
-2.4186 1.0067 -0.5044
-3.2400 -1.3880 -1.3454
```

# 19
Here is a relaxed structure of AgOsSN2 from the Alexandria database. Energies are from PBE.

Summary:
Formation energy from raw total energies ... 2682 meV per atom
Total magnetization ... 2.7 Bohr magnetons per cell
Polymorph energy (0 for the lowest one) ... 2057.2 meV per atom

The structure in POSCAR format:
```
AgOsSN2
1.0
-2.8846 1.8739 -1.8463
-0.6943 -3.1852 -2.1481
-3.2595 -1.6171 3.4514
N Os Ag S
2 1 1 1
Cartesian
-0.3472 -1.5926 -1.0740
-1.4423 0.9370 -0.9231
-3.4192 -1.4641 -0.2715
0.0000 0.0000 0.0000
-1.6298 -0.8085 1.7257
```

# 20
Here is a relaxed structure of AgOsSe2N from the Alexandria database. Energies are from PBE.

Summary:
Formation energy from raw total energies ... 458 meV per atom
Total magnetization ... 0.0 Bohr magnetons per cell
Polymorph energy (0 for the lowest one) ... 0.0 meV per atom

The structure in POSCAR format:
```
AgOsSe2N
1.0
-2.6077 -0.4901 -4.4184
4.3227 -1.4752 -2.3876
-0.7380 -3.4949 0.8232
Os Se Ag N
1 2 1 1
Cartesian
0.0000 0.0000 0.0000
2.1614 -0.7376 -1.1938
-1.3038 -0.2451 -2.2092
0.4885 -2.7301 -2.9914
-0.3690 -1.7474 0.4116
```

How do the records compare in E_tot? In the order shown, they have -6.4350, -3.8517, -3.7258, -3.4158, -6.5245, -6.6773, -5.8348, -5.8948, -2.8702, -4.2013, -8.0784, -4.6835, -6.6340, -4.6013, -5.1860, -7.3586, -7.5444, -6.3470, -4.2898, -5.4168 eV/atom.